Tb4Si3Os, relaxed, DFT PBE; size of the total moment = 0.00 μB/atom; DFT total energy = -51.3 eV per cell; DOS(E_F) = 0.74 states/eV per atom; uncorrected formation energy = -5.313 eV per formula unit; V = 177 Å³/f.u.
1.0
-1.703 2.843 2.698
-3.492 -0.603 -1.568
-1.829 -7.810 7.076
Tb Os Si
4 1 3
Cartesian
-3.319 -7.019 5.301
-3.247 -1.654 3.078
-2.026 -3.595 5.894
-0.251 -1.070 0.969
-2.724 0.577 1.057
-2.550 -5.830 7.918
-2.799 -4.797 3.289
-0.790 -3.372 3.055